Entry from the Alexandria database: a relaxed LiPb crystal (GGA-PBEsol).

Properties
**Calculated formation energy**: -0.2146 eV per atom
**SG**: R-3m, No. 166
**Magnetization**: 0.0 μB/cell

abc: 3.352 3.352 5.079
angles: 70.73 70.73 60.00
Fractional coordinates of all 2 atoms:
Pb 0.500 0.500 0.500
Li 0.000 0.000 0.000